VASP calculation (GGA-PBEsol) on a geometry-optimized Sr2Ni2As structure.

POSCAR file:
```
Sr2Ni2As
1.0
-2.649 2.131 0.710
-1.476 -2.479 1.933
6.404 3.182 5.851
Sr Ni As
2 2 1
Direct
0.612 0.612 0.224
0.388 0.388 0.776
0.750 0.250 0.500
0.250 0.750 0.500
0.000 0.000 0.000
```

Energy relative to the elements in eV per atom: -0.171
Space-group type: I4/mmm
Density of states at the Fermi level in states/eV per atom: 1.02

=====

VASP calculation (GGA-PBEsol) on a geometry-optimized La3BeP structure.

POSCAR file:
```
La3BeP
1.0
-4.805 -2.324 -1.314
0.395 -3.294 4.382
-2.640 3.736 3.047
La P Be
3 1 1
Direct
0.500 0.000 0.000
0.000 0.000 0.500
0.000 0.500 0.000
0.000 0.000 0.000
0.500 0.500 0.500
```

Energy relative to the elements in eV per atom: -0.058
Space-group type: Pm-3m
Density of states at the Fermi level in states/eV per atom: 1.36

=====

VASP calculation (GGA-PBEsol) on a geometry-optimized Ce4SmO9 structure.

POSCAR file:
```
Ce4SmO9
1.0
-2.349 -2.479 -1.618
3.952 -3.790 0.068
-3.761 0.207 9.557
O Ce Sm
9 4 1
Direct
0.802 0.043 0.604
0.586 0.328 0.172
0.414 0.157 0.828
0.798 0.540 0.595
0.606 0.855 0.211
0.000 0.771 0.000
0.394 0.644 0.789
0.202 0.945 0.405
0.198 0.439 0.396
0.107 0.094 0.214
0.893 0.880 0.786
0.699 0.693 0.398
0.301 0.294 0.602
0.500 0.547 0.000
```

Space-group type: Imm2
Formation energy without anion corrections in eV/atom: -3.4533
Density of states at the Fermi level in states/eV per atom: 0.81

=====

VASP calculation (GGA-PBEsol) on a geometry-optimized Cd2NiCl structure.

POSCAR file:
```
Cd2NiCl
1.0
-2.401 -1.857 0.578
0.865 -0.195 2.969
-4.324 6.105 1.653
Cl Cd Ni
1 2 1
Direct
0.500 0.000 0.500
0.000 0.999 0.793
0.000 0.001 0.207
0.500 0.500 0.000
```

Space-group type: P2/m
Formation energy without anion corrections in eV/atom: -0.1759
Density of states at the Fermi level in states/eV per atom: 0.42

=====

VASP calculation (GGA-PBEsol) on a geometry-optimized K4CaCl structure.

POSCAR file:
```
K4CaCl
1.0
-4.771 -5.600 2.594
-1.338 -6.319 -4.373
2.905 -6.914 2.145
Cl K Ca
1 4 1
Direct
0.000 0.000 0.000
0.374 0.374 0.374
0.374 0.877 0.374
0.877 0.374 0.374
0.374 0.374 0.877
0.750 0.750 0.750
```

Space-group type: F-43m
Formation energy without anion corrections in eV/atom: -0.0675
Density of states at the Fermi level in states/eV per atom: 0.49

=====

VASP calculation (GGA-PBEsol) on a geometry-optimized SrReRh2 structure.

POSCAR file:
```
SrReRh2
1.0
-0.406 2.579 1.123
-4.390 -1.707 -1.264
0.388 -2.159 5.097
Sr Rh Re
1 2 1
Direct
0.505 0.010 0.525
0.999 0.998 0.037
0.269 0.538 0.791
0.727 0.454 0.148
```

Energy relative to the elements in eV per atom: 0.383
Space-group type: Cm
Density of states at the Fermi level in states/eV per atom: 0.82

=====

| no. | M_tot (μB per formula unit) | E (eV per atom) |
| --- | --- | --- |
| 1 | 0.4 | -4.39 |
| 2 | 0.0 | -5.22 |
| 3 | 1.3 | -9.08 |
| 4 | 0.0 | -2.82 |
| 5 | 0.0 | -1.51 |
| 6 | 0.0 | -7.48 |